(1)
# BaCaAu3

A geometry-optimized BaCaAu3 structure (PBE, Alexandria).

Calculated values
Symmetry   No. 221
V   40.99 Å³ per atom
Distance to the lowest polymorph of the same formula   867 meV per atom
Calculated density   6.22 Mg/m³

Lattice parameters (Å, degrees): 5.896 5.896 5.896 90.00 90.00 90.00
Fractional positions:
Au 0.000 0.500 0.000
Au 0.500 0.000 0.000
Au 0.000 0.000 0.500
Ca 0.500 0.500 0.500
Ba 0.000 0.000 0.000


(2)
# BaCa3Au4

A geometry-optimized BaCa3Au4 structure (PBE, Alexandria).

Calculated values
Electronic total energy   -3.36 eV per atom
Symmetry   No. 51
V   26.36 Å³ per atom
Calculated density   8.23 Mg/m³

Lattice parameters (Å, degrees): 5.318 7.454 10.640 90.00 90.00 90.00
Fractional positions:
Ca 0.498 0.000 0.250
Ca 0.500 0.500 0.750
Ca 0.000 0.000 0.500
Ca 0.500 0.500 0.250
Ca 0.000 0.000 0.000
Ca 0.502 0.000 0.750
Au 0.002 0.777 0.750
Au 0.500 0.223 0.500
Au 0.500 0.777 0.000
Au 0.500 0.223 0.000
Au 0.998 0.777 0.250
Au 0.500 0.777 0.500
Au 0.998 0.223 0.250
Au 0.002 0.223 0.750
Ba 0.000 0.500 0.000
Ba 0.000 0.500 0.500


(3)
# BaCaAu4

A geometry-optimized BaCaAu4 structure (PBE, Alexandria).

Calculated values
Symmetry   No. 216
V   23.90 Å³ per atom
Distance to the lowest polymorph of the same formula   206 meV per atom
Calculated density   11.18 Mg/m³

Lattice parameters (Å, degrees): 5.875 5.875 5.875 60.00 60.00 60.00
Fractional positions:
Ba 0.750 0.750 0.750
Ca 0.000 0.000 0.000
Au 0.374 0.878 0.374
Au 0.374 0.374 0.374
Au 0.878 0.374 0.374
Au 0.374 0.374 0.878


(4)
# Ba2CaAu

A geometry-optimized Ba2CaAu structure (PBE, Alexandria).

Calculated values
Symmetry   No. 8
V   41.99 Å³ per atom
Distance to the lowest polymorph of the same formula   18 meV per atom
Calculated density   5.06 Mg/m³

Lattice parameters (Å, degrees): 7.615 7.615 6.212 65.93 65.93 30.97
Fractional positions:
Au 0.239 0.239 0.263
Ba 0.939 0.939 0.061
Ba 0.752 0.752 0.748
Ca 0.571 0.571 0.429


(5)
# BaCaAu2

A geometry-optimized BaCaAu2 structure (PBE, Alexandria).

Calculated values
Electronic total energy   -3.30 eV per atom
Symmetry   No. 123
V   28.57 Å³ per atom
Calculated density   8.30 Mg/m³

Lattice parameters (Å, degrees): 5.462 5.462 3.831 90.00 90.00 90.00
Fractional positions:
Au 0.500 0.500 0.000
Au 0.000 0.000 0.000
Ca 0.000 0.500 0.500
Ba 0.500 0.000 0.500


(6)
# BaCa4Au2

A geometry-optimized BaCa4Au2 structure (PBE, Alexandria).

Calculated values
Electronic total energy   -2.84 eV per atom
Symmetry   No. 11
V   34.10 Å³ per atom
Calculated density   4.81 Mg/m³

Lattice parameters (Å, degrees): 6.876 9.052 8.310 112.63 90.00 90.00
Fractional positions:
Ca 0.250 0.273 0.343
Ca 0.500 0.422 0.755
Ca 0.000 0.422 0.755
Ca 0.750 0.015 0.388
Ca 0.000 0.578 0.245
Ca 0.250 0.985 0.612
Ca 0.750 0.727 0.657
Ca 0.500 0.578 0.245
Au 0.750 0.713 0.020
Au 0.250 0.287 0.980
Au 0.250 0.629 0.583
Au 0.750 0.371 0.417
Ba 0.750 0.155 0.991
Ba 0.250 0.845 0.009


(7)
# Ba2CaAu

A geometry-optimized Ba2CaAu structure (PBE, Alexandria).

Calculated values
Symmetry   No. 123
V   42.50 Å³ per atom
Distance to the lowest polymorph of the same formula   13 meV per atom
Calculated density   5.00 Mg/m³

Lattice parameters (Å, degrees): 4.092 4.092 10.153 90.00 90.00 90.00
Fractional positions:
Au 0.500 0.500 0.750
Ba 0.000 0.000 0.937
Ba 0.000 0.000 0.563
Ca 0.500 0.500 0.250


(8)
# Ba2CaAu

A geometry-optimized Ba2CaAu structure (PBE, Alexandria).

Calculated values
Symmetry   No. 160
V   47.84 Å³ per atom
Distance to the lowest polymorph of the same formula   10 meV per atom
Calculated density   4.44 Mg/m³

Lattice parameters (Å, degrees): 11.025 11.025 11.025 23.78 23.78 23.78
Fractional positions:
Ba 0.031 0.031 0.031
Ba 0.242 0.242 0.242
Ca 0.469 0.469 0.469
Au 0.758 0.758 0.758